# 1
Crystalline Sr2CdCu at its relaxed geometry, computed with GGA-PBE.

a b c (Å): 4.4926 4.7808 6.4407
angles (deg): 90.00 110.18 90.00
Fractional positions:
Sr 0.0000 0.0000 0.0000
Sr 0.2849 0.5000 0.5700
Cd 0.5800 0.5000 0.1597
Cu 0.7019 0.0000 0.4040

Calculated values
The density of states at the Fermi level is 0.57 states/eV per atom. The value obtained for the volume is 32.46 Å³ per atom. The formation enthalpy at 0 K comes out at -0.169 eV/atom. The total energy is -2.26 eV/atom. Its space group is Pm.



# 2
Crystalline Rb2Cu2Ag at its relaxed geometry, computed with GGA-PBE.

a b c (Å): 3.5930 3.5930 22.0052
angles (deg): 90.00 90.00 90.00
Fractional positions:
Rb 0.0000 0.0000 0.1148
Rb 0.0000 0.0000 0.8852
Rb 0.5000 0.5000 0.3852
Rb 0.5000 0.5000 0.6148
Cu 0.0000 0.5000 0.2500
Cu 0.0000 0.5000 0.7500
Cu 0.5000 0.0000 0.2500
Cu 0.5000 0.0000 0.7500
Ag 0.0000 0.0000 0.5000
Ag 0.5000 0.5000 0.0000

Calculated values
The density of states at the Fermi level is 0.29 states/eV per atom. The value obtained for the volume is 28.41 Å³ per atom. The formation enthalpy at 0 K comes out at 0.343 eV/atom. The total energy is -2.25 eV/atom. Its space group is I4/mmm.



# 3
Crystalline Ba2GaAsPd6 at its relaxed geometry, computed with GGA-PBE.

a b c (Å): 6.7085 6.7121 6.9320
angles (deg): 61.35 61.26 60.25
Fractional positions:
Ba 0.2170 0.2169 0.3492
Ba 0.7830 0.7831 0.6508
Ga 0.5000 0.5000 0.5000
As 0.0000 0.0000 0.0000
Pd 0.2493 0.2492 0.8405
Pd 0.2497 0.6593 0.8421
Pd 0.3394 0.7512 0.1593
Pd 0.6606 0.2488 0.8407
Pd 0.7503 0.3407 0.1579
Pd 0.7507 0.7508 0.1595

Calculated values
The density of states at the Fermi level is 0.40 states/eV per atom. The value obtained for the volume is 22.54 Å³ per atom. The formation enthalpy at 0 K comes out at -0.644 eV/atom. The total energy is -4.91 eV/atom. Its space group is P-1.